(1)
Material: Cs2CaBr3F
Method: DFT, PBE
State: optimized geometry

Computed properties:
- Uncorrected formation energy: -2.28 eV/atom
- Uncorrected energy: -3.79 eV/atom
- Magnetic moment: 0.0 μB/cell
- Crystal system: orthorhombic

a = 4.4996 Å, b = 5.9177 Å, c = 10.2543 Å
α = 106.77°, β = 102.67°, γ = 90.00°
With the nearest neighbours (Å) after each atom.
Element x y z (fractional)
1 Cs 0.3503 0.3503 0.7007  7 Br 3.64-3.72
2 Cs 0.6497 0.6497 0.2993  7 Br 3.64-3.72
3 Ca 0.0000 0.0000 0.0000  2 F 2.25
4 Br 0.0000 0.5000 0.0000  2 Ca 2.96
5 F 0.5000 0.0000 0.0000  2 Ca 2.25
6 Br 0.8430 0.8430 0.6860  1 Ca 3.00
7 Br 0.1570 0.1570 0.3140  1 Ca 3.00

(2)
Material: CsCaFe2Br8
Method: DFT, PBE
State: optimized geometry

Computed properties:
- Uncorrected formation energy: -1.09 eV/atom
- Uncorrected energy: -3.85 eV/atom
- Magnetic moment: 9.0 μB/cell
- Crystal system: monoclinic

a = 6.9317 Å, b = 6.9317 Å, c = 10.6344 Å
α = 82.50°, β = 82.50°, γ = 68.62°
With the nearest neighbours (Å) after each atom.
Element x y z (fractional)
1 Br 0.7250 0.2306 0.2073  1 Fe 2.43
2 Br 0.2306 0.7250 0.2073  1 Fe 2.43
3 Br 0.6820 0.6820 0.4030  1 Fe 2.35
4 Cs 0.0000 0.0000 0.5000  6 Br 3.73-3.94
5 Br 0.2562 0.2562 0.9855  1 Fe 2.39
6 Br 0.7438 0.7438 0.0145  1 Fe 2.39
7 Fe 0.6069 0.6069 0.2092  4 Br 2.35-2.43
8 Br 0.3180 0.3180 0.5970  1 Fe 2.35
9 Ca 0.0000 0.0000 0.0000  6 Br 2.91-2.94
10 Br 0.7694 0.2750 0.7927  1 Fe 2.43
11 Br 0.2750 0.7694 0.7927  1 Fe 2.43
12 Fe 0.3931 0.3931 0.7908  4 Br 2.35-2.43

(3)
Material: CsCa2FeBr8
Method: DFT, PBE
State: optimized geometry

Computed properties:
- Uncorrected formation energy: -1.31 eV/atom
- Uncorrected energy: -3.53 eV/atom
- Magnetic moment: 1.0 μB/cell
- Crystal system: triclinic

a = 6.7708 Å, b = 6.8431 Å, c = 9.5689 Å
α = 76.28°, β = 77.05°, γ = 73.86°
With the nearest neighbours (Å) after each atom.
Element x y z (fractional)
1 Ca 0.4274 0.4262 0.7504  5 Br 2.84-2.97
2 Br 0.2719 0.8438 0.8120  1 Fe 2.47
3 Fe 0.0000 0.0000 0.0000  6 Br 2.44-2.48
4 Br 0.2226 0.2150 0.0197  1 Fe 2.44
5 Br 0.1478 0.7249 0.1945  1 Fe 2.48
6 Br 0.3484 0.3252 0.4998  2 Ca 2.84-2.97
7 Cs 0.0000 0.0000 0.5000  6 Br 3.65-3.66
8 Br 0.6516 0.6748 0.5002  2 Ca 2.84-2.97
9 Br 0.7281 0.1562 0.1880  1 Fe 2.47
10 Ca 0.5726 0.5738 0.2496  5 Br 2.84-2.97
11 Br 0.7774 0.7850 0.9803  1 Fe 2.44
12 Br 0.8522 0.2751 0.8055  1 Fe 2.48

(4)
Material: Cs2CaGaBr6
Method: DFT, PBE
State: optimized geometry

Computed properties:
- Uncorrected formation energy: -1.50 eV/atom
- Uncorrected energy: -3.17 eV/atom
- Magnetic moment: 0.0 μB/cell
- Crystal system: cubic

a = 8.0157 Å, b = 8.0162 Å, c = 8.0160 Å
α = 59.99°, β = 60.00°, γ = 89.99°
With the nearest neighbours (Å) after each atom.
Element x y z (fractional)
1 Cs 0.2499 0.7499 0.5002  12 Br 4.01
2 Br 0.7448 0.7446 0.9999  1 Ga 2.77, 1 Ca 2.89
3 Ca 0.0000 0.0000 0.0000  6 Br 2.89-2.90
4 Br 0.7445 0.7445 0.5110  1 Ga 2.77, 1 Ca 2.90
5 Ga 0.5000 0.5000 0.0000  6 Br 2.77
6 Br 0.7445 0.2553 0.0000  1 Ga 2.77, 1 Ca 2.89
7 Cs 0.7501 0.2501 0.4998  12 Br 4.01
8 Br 0.2552 0.2554 0.0001  1 Ga 2.77, 1 Ca 2.89
9 Br 0.2555 0.7447 0.0000  1 Ga 2.77, 1 Ca 2.89
10 Br 0.2555 0.2555 0.4890  1 Ga 2.77, 1 Ca 2.90

(5)
Material: CsCaGa2Br8
Method: DFT, PBE
State: optimized geometry

Computed properties:
- Uncorrected formation energy: -1.19 eV/atom
- Uncorrected energy: -3.05 eV/atom
- Magnetic moment: 0.9 μB/cell
- Crystal system: trigonal

a = 7.0757 Å, b = 7.0757 Å, c = 11.0713 Å
α = 71.36°, β = 71.36°, γ = 60.00°
With the nearest neighbours (Å) after each atom.
Element x y z (fractional)
1 Br 0.2850 0.9348 0.1680  1 Ga 2.50
2 Br 0.6122 0.2850 0.1680  1 Ga 2.50
3 Br 0.1759 0.1759 0.4722  1 Ga 2.41
4 Br 0.0652 0.3878 0.8320  1 Ga 2.50
5 Ca 0.0000 0.0000 0.0000  6 Br 2.94
6 Br 0.3878 0.7150 0.8320  1 Ga 2.50
7 Ga 0.2541 0.2541 0.2376  4 Br 2.41-2.50
8 Ga 0.7459 0.7459 0.7624  4 Br 2.41-2.50
9 Br 0.9348 0.6122 0.1680  1 Ga 2.50
10 Br 0.7150 0.0652 0.8320  1 Ga 2.50
11 Br 0.8241 0.8241 0.5278  1 Ga 2.41
12 Cs 0.5000 0.5000 0.5000  12 Br 4.10-4.12

(6)
Material: Cs4Ca3GaBr12
Method: DFT, PBE
State: optimized geometry

Computed properties:
- Uncorrected formation energy: -1.73 eV/atom
- Uncorrected energy: -3.36 eV/atom
- Magnetic moment: 0.2 μB/cell
- Crystal system: cubic

a = 9.9077 Å, b = 9.9077 Å, c = 9.9077 Å
α = 109.47°, β = 109.47°, γ = 109.47°
With the nearest neighbours (Å) after each atom.
Element x y z (fractional)
1 Br 0.2442 0.0000 0.2442  1 Ga 2.79, 1 Ca 2.93
2 Br 0.5000 0.7500 0.2500  2 Ca 2.86
3 Br 0.0000 0.2442 0.2442  1 Ga 2.79, 1 Ca 2.93
4 Cs 0.0000 0.5000 0.0000  12 Br 4.04-4.05
5 Ca 0.5000 0.0000 0.5000  6 Br 2.86-2.93
6 Br 0.7558 0.0000 0.7558  1 Ga 2.79, 1 Ca 2.93
7 Cs 0.5000 0.5000 0.5000  12 Br 4.04-4.05
8 Br 0.2500 0.7500 0.5000  2 Ca 2.86
9 Ga 0.0000 0.0000 0.0000  6 Br 2.79
10 Br 0.5000 0.2500 0.7500  2 Ca 2.86
11 Br 0.7500 0.5000 0.2500  2 Ca 2.86
12 Br 0.2442 0.2442 0.0000  1 Ga 2.79, 1 Ca 2.93
13 Ca 0.0000 0.5000 0.5000  6 Br 2.86-2.93
14 Cs 0.0000 0.0000 0.5000  12 Br 4.04-4.05
15 Br 0.7558 0.7558 0.0000  1 Ga 2.79, 1 Ca 2.93
16 Cs 0.5000 0.0000 0.0000  12 Br 4.04-4.05
17 Ca 0.5000 0.5000 0.0000  6 Br 2.86-2.93
18 Br 0.2500 0.5000 0.7500  2 Ca 2.86
19 Br 0.0000 0.7558 0.7558  1 Ga 2.79, 1 Ca 2.93
20 Br 0.7500 0.2500 0.5000  2 Ca 2.86